## ScReP2 (PBE)

Data for an optimized crystal structure of ScReP2.

Magnetic moment (Bohr magnetons per cell): 0.0
Calculated formation energy (meV per atom): -268
Space group: I-42d, No. 122

The structure in POSCAR format:
```
ScReP2
1.0
-2.699 2.699 5.978
2.699 -2.699 5.978
2.699 2.699 -5.978
Sc Re P
2 2 4
Cartesian
0.000 0.000 0.000
0.000 2.699 2.989
2.699 0.000 2.989
0.000 0.000 5.978
1.349 -1.072 4.484
1.627 1.349 1.495
1.349 3.770 -1.495
1.072 1.349 7.473
```

***

## K2LiCd (PBE)

Data for an optimized crystal structure of K2LiCd.

Magnetic moment (Bohr magnetons per cell): 0.0
Calculated formation energy (meV per atom): 0
Space group: P4mm, No. 99

The structure in POSCAR format:
```
K2LiCd
1.0
4.007 0.000 0.000
0.000 4.007 0.000
0.000 0.000 10.187
K Li Cd
2 1 1
Cartesian
0.000 0.000 0.000
2.004 2.004 3.964
0.000 0.000 6.779
2.004 2.004 7.599
```

***

## K2Co2Se3 (PBE)

Data for an optimized crystal structure of K2Co2Se3.

Energy (eV for the cell shown): -61.857
Magnetic moment (Bohr magnetons per cell): 0.7
Space group: C2/m, No. 12

The structure in POSCAR format:
```
K2Co2Se3
1.0
8.776 -1.982 0.000
8.776 1.982 0.000
-5.503 0.000 10.626
K Co Se
4 4 6
Cartesian
-1.075 0.000 4.786
-0.397 0.000 8.974
12.447 0.000 1.652
13.125 0.000 5.840
0.307 0.000 1.369
7.188 0.000 1.722
4.862 0.000 8.903
11.743 0.000 9.256
-3.700 0.000 10.172
2.700 0.000 8.030
5.488 0.000 3.312
6.562 0.000 7.313
9.351 0.000 2.595
15.750 0.000 0.454
```

***

## CsSmZrS4 (PBE)

Data for an optimized crystal structure of CsSmZrS4.

Energy (eV for the cell shown): -84.260
Magnetic moment (Bohr magnetons per cell): 0.0
Space group: P2_1/m, No. 11

The structure in POSCAR format:
```
CsSmZrS4
1.0
7.057 0.000 0.000
0.000 7.097 0.000
-3.265 0.000 9.180
Cs Sm Zr S
2 2 2 8
Cartesian
0.120 1.774 4.086
3.671 5.323 5.094
-0.993 1.774 8.750
4.785 5.323 0.429
1.241 5.323 1.431
2.550 1.774 7.749
-2.925 5.323 8.433
-0.705 5.323 2.836
2.904 0.006 1.697
2.904 3.543 1.697
0.888 3.554 7.483
0.888 7.091 7.483
4.497 1.774 6.344
6.717 1.774 0.747
```